(1)
Compound: LiAc3
Source: the Alexandria database
Functional: PBE-GGA
Structure: relaxed

The structure belongs to space group Pm-3m (No. 221); the cell edges are 5.446, 5.446 and 5.446 Å and the angles 90.00°, 90.00° and 90.00°. Symmetry generates all atoms from Li at (0.000, 0.000, 0.000) and Ac at (0.000, 0.500, 0.500).

The energy above the most stable polymorph in this dataset comes out at 93 meV/atom. For the uncorrected energy, the calculation gives -3.40 eV per atom. Its total magnetization is 0.001 μB per formula unit.


(2)
Compound: LiAc
Source: the Alexandria database
Functional: PBE-GGA
Structure: relaxed

The structure belongs to space group Pm-3m (No. 221); the cell edges are 4.047, 4.047 and 4.047 Å and the angles 90.00°, 90.00° and 90.00°. Symmetry generates all atoms from Li at (0.000, 0.000, 0.000) and Ac at (0.500, 0.500, 0.500).

The energy above the most stable polymorph in this dataset comes out at 3 meV/atom. For the uncorrected energy, the calculation gives -2.91 eV per atom. Its total magnetization is 0.001 μB per formula unit.


Repeat the second record exactly.
Compound: LiAc
Source: the Alexandria database
Functional: PBE-GGA
Structure: relaxed

The structure belongs to space group Pm-3m (No. 221); the cell edges are 4.047, 4.047 and 4.047 Å and the angles 90.00°, 90.00° and 90.00°. Symmetry generates all atoms from Li at (0.000, 0.000, 0.000) and Ac at (0.500, 0.500, 0.500).

The energy above the most stable polymorph in this dataset comes out at 3 meV/atom. For the uncorrected energy, the calculation gives -2.91 eV per atom. Its total magnetization is 0.001 μB per formula unit.


Repeat the second record exactly.
Compound: LiAc
Source: the Alexandria database
Functional: PBE-GGA
Structure: relaxed

The structure belongs to space group Pm-3m (No. 221); the cell edges are 4.047, 4.047 and 4.047 Å and the angles 90.00°, 90.00° and 90.00°. Symmetry generates all atoms from Li at (0.000, 0.000, 0.000) and Ac at (0.500, 0.500, 0.500).

The energy above the most stable polymorph in this dataset comes out at 3 meV/atom. For the uncorrected energy, the calculation gives -2.91 eV per atom. Its total magnetization is 0.001 μB per formula unit.